(A)
VASP calculation (PBE-GGA) on a relaxed TcGeCl2 crystal.

a b c (Å): 11.021 11.021 11.021
angles (deg): 16.40 16.40 16.40
Fractional coordinates of all 4 atoms:
Ge1 0.000 0.000 0.000
Tc1 0.500 0.500 0.500
Cl1 0.884 0.884 0.884
Cl2 0.116 0.116 0.116

## Properties
Fermi-level density of states: 2.7 states/eV/f.u.
Space group: R-3m, No. 166
Total magnetic moment: 0.00 Bohr magnetons per cell



(B)
VASP calculation (PBE-GGA) on a relaxed TcGeCl2 crystal.

a b c (Å): 4.726 4.726 4.726
angles (deg): 60.00 60.00 60.00
Site moments in Bohr magnetons follow the coordinates.
Fractional coordinates of all 4 atoms:
Ge1 0.000 0.000 0.000  -0.08
Tc1 0.500 0.500 0.500  2.74
Cl1 0.250 0.250 0.250  0.05
Cl2 0.750 0.750 0.750  0.05

## Properties
Fermi-level density of states: 1.2 states/eV/f.u.
Space group: Fm-3m, No. 225
Total magnetic moment: 3.01 Bohr magnetons per cell



(C)
VASP calculation (PBE-GGA) on a relaxed TcGeCl2 crystal.

a b c (Å): 6.097 6.097 6.769
angles (deg): 63.24 63.24 90.00
Fractional coordinates of all 8 atoms:
Ge1 0.500 0.500 0.000
Ge2 0.250 0.750 0.500
Tc1 0.000 0.000 0.000
Tc2 0.750 0.250 0.500
Cl1 0.687 0.125 0.250
Cl2 0.063 0.625 0.250
Cl3 0.375 0.313 0.750
Cl4 0.875 0.937 0.750

## Properties
Fermi-level density of states: 4.2 states/eV/f.u.
Space group: I-42d, No. 122
Total magnetic moment: 0.00 Bohr magnetons per cell



Most stable structure, least stable structure: (A), (C).



(A)
VASP calculation (PBE-GGA) on a relaxed TcGe3Cl crystal.

a b c (Å): 4.841 4.841 4.841
angles (deg): 90.00 90.00 90.00
Site moments in Bohr magnetons follow the coordinates.
Fractional coordinates of all 5 atoms:
Ge1 0.000 0.500 0.000  -0.06
Ge2 0.000 0.000 0.500  -0.04
Ge3 0.500 0.000 0.000  0.02
Tc1 0.500 0.500 0.500  2.96
Cl1 0.000 0.000 0.000  -0.01

## Properties
Fermi-level density of states: 4.9 states/eV/f.u.
Space group: Pm-3m, No. 221
Total magnetic moment: 3.21 Bohr magnetons per cell



(B)
VASP calculation (PBE-GGA) on a relaxed TcGe3Cl crystal.

a b c (Å): 4.815 4.815 4.815
angles (deg): 90.00 90.00 90.00
Fractional coordinates of all 5 atoms:
Ge1 0.000 0.500 0.000
Ge2 0.000 0.000 0.500
Ge3 0.500 0.000 0.000
Tc1 0.000 0.000 0.000
Cl1 0.500 0.500 0.500

## Properties
Fermi-level density of states: 0.0 states/eV/f.u.
Space group: Pm-3m, No. 221
Total magnetic moment: 0.00 Bohr magnetons per cell



Most stable structure, least stable structure: (B), (A).